The following is a DFT calculation (PBE) of crystalline DyNiAs at its relaxed geometry.

M_tot	0.00	μB/atom
space-group type	P6_3/mmc, No. 194
V	18.26	Å³ per atom
E_tot	-6.009	eV per atom

a = 4.064 Å, b = 4.064 Å, c = 15.322 Å
α = 90.00°, β = 90.00°, γ = 120.00°
Fractional positions:
As (0.333, 0.667, 0.121)
As (0.333, 0.667, 0.379)
As (0.667, 0.333, 0.621)
As (0.667, 0.333, 0.879)
Dy (0.000, 0.000, 0.000)
Dy (0.000, 0.000, 0.250)
Dy (0.000, 0.000, 0.500)
Dy (0.000, 0.000, 0.750)
Ni (0.667, 0.333, 0.133)
Ni (0.667, 0.333, 0.367)
Ni (0.333, 0.667, 0.633)
Ni (0.333, 0.667, 0.867)


The following is a DFT calculation (PBE) of crystalline DyNi8As2 at its relaxed geometry.

M_tot	0.00	μB/atom
space-group type	C2/m, No. 12
V	13.03	Å³ per atom
E_tot	-5.676	eV per atom

a = 5.827 Å, b = 5.827 Å, c = 8.659 Å
α = 124.99°, β = 124.99°, γ = 37.81°
Fractional positions:
As (0.925, 0.925, 0.196)
As (0.075, 0.075, 0.804)
Dy (0.500, 0.500, 0.000)
Ni (0.262, 0.262, 0.133)
Ni (0.185, 0.185, 0.357)
Ni (0.833, 0.833, 0.371)
Ni (0.545, 0.545, 0.396)
Ni (0.455, 0.455, 0.604)
Ni (0.167, 0.167, 0.629)
Ni (0.815, 0.815, 0.643)
Ni (0.738, 0.738, 0.867)


The following is a DFT calculation (PBE) of crystalline DyNi3As2 at its relaxed geometry.

M_tot	0.00	μB/atom
space-group type	P-3m1, No. 164
V	15.03	Å³ per atom
E_tot	-5.776	eV per atom

a = 4.019 Å, b = 4.019 Å, c = 6.448 Å
α = 90.00°, β = 90.00°, γ = 120.00°
Fractional positions:
As (0.667, 0.333, 0.281)
As (0.333, 0.667, 0.719)
Dy (0.000, 0.000, 0.000)
Ni (0.333, 0.667, 0.335)
Ni (0.000, 0.000, 0.500)
Ni (0.667, 0.333, 0.665)


The following is a DFT calculation (PBE) of crystalline DyYNi2As2 at its relaxed geometry.

M_tot	0.00	μB/atom
space-group type	P6_3/mmc, No. 194
V	18.28	Å³ per atom
E_tot	-6.323	eV per atom

a = 4.063 Å, b = 4.063 Å, c = 15.343 Å
α = 90.00°, β = 90.00°, γ = 120.00°
Fractional positions:
As (0.333, 0.667, 0.121)
As (0.333, 0.667, 0.379)
As (0.667, 0.333, 0.621)
As (0.667, 0.333, 0.879)
Dy (0.000, 0.000, 0.250)
Dy (0.000, 0.000, 0.750)
Ni (0.667, 0.333, 0.133)
Ni (0.667, 0.333, 0.367)
Ni (0.333, 0.667, 0.633)
Ni (0.333, 0.667, 0.867)
Y (0.000, 0.000, 0.000)
Y (0.000, 0.000, 0.500)